Record 1
The following is a GGA-PBE calculation of crystalline TbEr4Se5 at its relaxed geometry, from Alexandria via LeMat-Bulk.

POSCAR file:
```
TbEr4Se5
1.0
4.041 0.000 0.000
0.000 4.041 0.000
-2.021 -2.021 14.373
Tb Er Se
1 4 5
direct
0.000 0.000 0.000
0.403 0.403 0.805
0.796 0.796 0.592
0.204 0.204 0.408
0.597 0.597 0.195
0.102 0.102 0.205
0.500 0.500 0.000
0.898 0.898 0.795
0.303 0.303 0.605
0.697 0.697 0.395
```

Output
symmetry = No. 139
E_form (uncorrected) = -1.707 eV per atom
ΔE to the lowest computed polymorph = 0.29 kJ per mole of atoms
Fermi-level density of states = 0.426 states/eV/atom

=====

Record 2
The following is a GGA-PBE calculation of crystalline Mg2Al2Ga at its relaxed geometry, from Alexandria via LeMat-Bulk.

POSCAR file:
```
Mg2Al2Ga
1.0
8.216 0.000 0.000
0.000 8.216 0.000
0.000 0.000 3.018
Mg Al Ga
4 4 2
direct
0.183 0.683 0.500
0.683 0.817 0.500
0.817 0.317 0.500
0.317 0.183 0.500
0.385 0.885 0.000
0.885 0.615 0.000
0.615 0.115 0.000
0.115 0.385 0.000
0.000 0.000 0.000
0.500 0.500 0.000
```

Output
DFT formation energy = 0.08 eV/atom
symmetry = No. 127
ΔE to the lowest computed polymorph = 10.95 kJ per mole of atoms
Fermi-level density of states = 0.414 states/eV/atom

=====

Record 3
The following is a GGA-PBE calculation of crystalline CaZn3Au at its relaxed geometry, from Alexandria via LeMat-Bulk.

POSCAR file:
```
CaZn3Au
1.0
4.113 -0.008 -0.001
-0.007 4.113 -0.001
2.049 2.049 5.868
Ca Zn Au
1 3 1
direct
0.403 0.206 0.900
0.654 0.959 0.396
0.156 0.457 0.396
0.788 0.592 0.130
0.008 0.811 0.690
```

Output
DFT formation energy = -0.38 eV/atom
symmetry = No. 8
ΔE to the lowest computed polymorph = 0.00 kJ per mole of atoms
Fermi-level density of states = 0.348 states/eV/atom

=====

Record 4
The following is a GGA-PBE calculation of crystalline Li3NdSi3 at its relaxed geometry, from Alexandria via LeMat-Bulk.

POSCAR file:
```
Li3NdSi3
1.0
-0.596 -3.686 0.832
-0.485 -1.994 -9.175
8.275 -0.331 4.453
Li Nd Si
6 2 6
direct
0.750 0.769 0.089
0.750 0.321 0.231
0.750 0.911 0.679
0.250 0.231 0.911
0.250 0.679 0.769
0.250 0.089 0.321
0.750 0.333 0.667
0.250 0.667 0.333
0.750 0.955 0.411
0.750 0.456 0.045
0.750 0.589 0.544
0.250 0.045 0.589
0.250 0.544 0.955
0.250 0.411 0.456
```

Output
symmetry = No. 176
E_form (uncorrected) = -0.416 eV per atom
Fermi-level density of states = 0.158 states/eV/atom

=====

Record 5
The following is a GGA-PBE calculation of crystalline PuUNiSe4 at its relaxed geometry, from Alexandria via LeMat-Bulk.

POSCAR file:
```
PuUNiSe4
1.0
6.829 0.000 0.158
0.000 5.840 0.000
-2.460 0.000 7.686
Pu U Ni Se
2 2 2 8
direct
0.740 0.750 0.931
0.260 0.250 0.069
0.738 0.750 0.440
0.262 0.250 0.560
0.248 0.750 0.318
0.752 0.250 0.682
0.019 0.509 0.750
0.981 0.009 0.250
0.981 0.491 0.250
0.019 0.991 0.750
0.432 0.750 0.114
0.568 0.250 0.886
0.421 0.750 0.608
0.579 0.250 0.392
```

Output
symmetry = No. 11
E_form (uncorrected) = -1.020 eV per atom
Fermi-level density of states = 2.461 states/eV/atom

=====

Record 6
The following is a GGA-PBE calculation of crystalline Cs2InSe at its relaxed geometry, from Alexandria via LeMat-Bulk.

POSCAR file:
```
Cs2InSe
1.0
2.938 -7.738 3.635
-0.525 8.763 2.157
-8.842 -1.810 0.514
Cs In Se
4 2 2
direct
0.751 0.375 0.876
0.499 0.875 0.124
0.125 0.249 0.624
0.625 0.501 0.376
0.000 0.000 0.000
0.250 0.750 0.500
0.500 0.500 0.000
0.750 0.250 0.500
```

Output
symmetry = No. 122
E_form (uncorrected) = -0.390 eV per atom
ΔE to the lowest computed polymorph = 0.00 kJ per mole of atoms
Fermi-level density of states = 0.639 states/eV/atom

=====

Record 7
The following is a GGA-PBE calculation of crystalline MgPdI3 at its relaxed geometry, from Alexandria via LeMat-Bulk.

POSCAR file:
```
MgPdI3
1.0
5.508 0.000 0.000
0.000 5.508 0.000
0.000 0.000 5.508
I Mg Pd
3 1 1
direct
0.000 0.500 0.000
0.000 0.000 0.500
0.500 0.000 0.000
0.500 0.500 0.500
0.000 0.000 0.000
```

Output
symmetry = No. 221
E_form (uncorrected) = -0.100 eV per atom
ΔE to the lowest computed polymorph = 0.00 kJ per mole of atoms
Fermi-level density of states = 0.400 states/eV/atom

=====

Record 8
The following is a GGA-PBE calculation of crystalline Zn2CdAu2 at its relaxed geometry, from Alexandria via LeMat-Bulk.

POSCAR file:
```
Zn2CdAu2
1.0
7.707 0.000 0.000
0.000 7.707 0.000
0.000 0.000 2.964
Zn Au Cd
4 4 2
direct
0.378 0.878 0.000
0.878 0.622 0.000
0.622 0.122 0.000
0.122 0.378 0.000
0.175 0.675 0.500
0.675 0.825 0.500
0.825 0.325 0.500
0.325 0.175 0.500
0.000 0.000 0.000
0.500 0.500 0.000
```

Output
DFT formation energy = -0.16 eV/atom
symmetry = No. 127
ΔE to the lowest computed polymorph = 0.70 kJ per mole of atoms
Fermi-level density of states = 0.231 states/eV/atom